{"formula": "SrFePF", "functional": "GGA+U", "state": "optimized geometry", "cell": [[-0.4650, 3.8546, -4.9912], [-3.4334, 1.7209, 1.6489], [3.8756, 2.5829, 5.3740]], "species": ["Sr", "Sr", "F", "F", "Fe", "Fe", "P", "P"], "fractional_positions": [[0.4646, 0.0000, 0.9006], [0.4646, 0.5000, 0.4006], [0.6402, 0.0000, 0.2980], [0.6402, 0.5000, 0.7980], [0.0050, 0.0000, 0.4111], [0.0050, 0.5000, 0.9111], [0.1017, 0.0000, 0.1121], [0.1017, 0.5000, 0.6121]], "space_group": "No. 8", "polymorph_energy_mev_per_atom": 71.4}